Here is a relaxed Ho6TlPb2Se3 crystal from the Alexandria database. Energies are from PBE-GGA.

Space-group type: No. 12
Crystal system: monoclinic

The structure in POSCAR format:
```
Ho6TlPb2Se3
1.0
-2.269 -0.372 -3.255
7.153 -2.944 -4.650
-3.846 -6.921 5.912
Pb Se Ho Tl
2 3 6 1
direct
0.843 0.692 0.686
0.157 0.308 0.314
0.169 0.822 0.339
0.500 0.500 0.000
0.831 0.178 0.661
0.327 0.948 0.655
0.012 0.730 0.024
0.663 0.588 0.327
0.673 0.052 0.345
0.337 0.412 0.673
0.988 0.270 0.976
0.500 0.000 0.000
```


Here is a relaxed HoTl2PbSe4 crystal from the Alexandria database. Energies are from PBE-GGA.

Space-group type: No. 10
Crystal system: monoclinic

The structure in POSCAR format:
```
HoTl2PbSe4
1.0
-1.105 2.386 -3.317
-7.489 -1.550 1.380
-2.765 5.260 4.705
Pb Se Tl Ho
1 4 2 1
direct
0.500 0.500 0.000
0.000 0.728 0.736
0.000 0.272 0.264
0.500 0.286 0.722
0.500 0.714 0.278
0.000 0.000 0.000
0.500 0.000 0.500
0.000 0.500 0.500
```


Here is a relaxed YHoPbSe crystal from the Alexandria database. Energies are from PBE-GGA.

Space-group type: No. 123
Crystal system: tetragonal

The structure in POSCAR format:
```
YHoPbSe
1.0
4.282 0.000 0.000
0.000 4.277 0.256
0.000 -0.363 6.035
Se Ho Pb Y
1 1 1 1
direct
0.500 0.392 0.093
0.000 0.892 0.092
0.000 0.892 0.592
0.500 0.392 0.593
```


Here is a relaxed Ho3SiPb crystal from the Alexandria database. Energies are from PBE-GGA.

Space-group type: No. 15
Crystal system: monoclinic

The structure in POSCAR format:
```
Ho3SiPb
1.0
7.932 -0.251 -0.188
0.258 8.489 -0.474
0.258 1.944 8.277
Pb Si Ho
4 4 12
direct
0.750 0.662 0.338
0.250 0.338 0.662
0.750 0.162 0.838
0.250 0.838 0.162
0.376 0.809 0.692
0.876 0.692 0.809
0.124 0.308 0.191
0.624 0.191 0.308
0.912 0.024 0.196
0.703 0.931 0.570
0.588 0.804 0.976
0.412 0.196 0.024
0.912 0.304 0.475
0.797 0.430 0.069
0.088 0.696 0.525
0.297 0.069 0.430
0.412 0.475 0.304
0.088 0.976 0.804
0.203 0.570 0.931
0.588 0.525 0.696
```


no.,ΔE_f (raw) (meV per atom)
1,-1062.8
2,-871.5
3,-1115.0
4,-476.4